Computed, not measured: an optimized crystal structure of BeZn2Co at the PBE level of DFT.

Magnetic moment = 0.000 μB/f.u.
VASP energy = -13.69 eV for the cell shown
Calculated density = 7.1 g/cm3
Symmetry = P4mm

Unit cell a=2.752 b=2.752 c=6.140 alpha=90.00 beta=90.00 gamma=90.00
Positions (direct):
Be 0.000 0.000 0.542
Zn 0.000 0.000 0.969
Zn 0.500 0.500 0.284
Co 0.500 0.500 0.705